# 1
First-principles (PBE) data for Sr6HgAu3 after structural relaxation, as listed in Alexandria.

The structure in CIF format:
```
data_Sr6HgAu3
_symmetry_space_group_name_H-M 'P 1'
_symmetry_Int_Tables_number 1
_symmetry_space_group_name_Hall 'P 1'
_cell_length_a 11.843
_cell_length_b 4.529
_cell_length_c 14.563
_cell_angle_alpha 90.00
_cell_angle_beta 110.28
_cell_angle_gamma 90.00
loop_
_atom_site_label
_atom_site_type_symbol
_atom_site_fract_x
_atom_site_fract_y
_atom_site_fract_z
_atom_site_occupancy
Sr1 Sr 0.009 0.250 0.385 1
Sr2 Sr 0.073 0.250 0.909 1
Sr3 Sr 0.244 0.750 0.316 1
Sr4 Sr 0.341 0.750 0.807 1
Sr5 Sr 0.342 0.750 0.096 1
Sr6 Sr 0.382 0.250 0.569 1
Sr7 Sr 0.618 0.750 0.431 1
Sr8 Sr 0.658 0.250 0.904 1
Sr9 Sr 0.659 0.250 0.193 1
Sr10 Sr 0.756 0.250 0.684 1
Sr11 Sr 0.927 0.750 0.091 1
Sr12 Sr 0.991 0.750 0.615 1
Hg1 Hg 0.433 0.250 0.285 1
Hg2 Hg 0.567 0.750 0.715 1
Au1 Au 0.142 0.250 0.148 1
Au2 Au 0.184 0.750 0.514 1
Au3 Au 0.408 0.250 0.970 1
Au4 Au 0.592 0.750 0.030 1
Au5 Au 0.816 0.250 0.486 1
Au6 Au 0.858 0.750 0.852 1
```

Output
Energy relative to the elements in eV/atom: -0.562
Crystal system: monoclinic
DFT total energy in eV/atom: -2.584

# 2
First-principles (PBE) data for Li2TlSiW after structural relaxation, as listed in Alexandria.

The structure in CIF format:
```
data_Li2TlSiW
_symmetry_space_group_name_H-M 'P 1'
_symmetry_Int_Tables_number 1
_symmetry_space_group_name_Hall 'P 1'
_cell_length_a 4.358
_cell_length_b 4.358
_cell_length_c 5.237
_cell_angle_alpha 90.00
_cell_angle_beta 90.00
_cell_angle_gamma 90.00
loop_
_atom_site_label
_atom_site_type_symbol
_atom_site_fract_x
_atom_site_fract_y
_atom_site_fract_z
_atom_site_occupancy
Li1 Li 0.000 0.500 0.000 1
Li2 Li 0.500 0.000 0.000 1
Tl1 Tl 0.000 0.000 0.500 1
Si1 Si 0.000 0.000 0.000 1
W1 W 0.500 0.500 0.500 1
```

Output
Crystal system: tetragonal
DFT total energy in eV/atom: -3.511
ΔE_f (raw) in eV/atom: 1.403

# 3
First-principles (PBE) data for Ag2AsIr after structural relaxation, as listed in Alexandria.

The structure in CIF format:
```
data_Ag2AsIr
_symmetry_space_group_name_H-M 'P 1'
_symmetry_Int_Tables_number 1
_symmetry_space_group_name_Hall 'P 1'
_cell_length_a 2.808
_cell_length_b 2.808
_cell_length_c 8.788
_cell_angle_alpha 90.00
_cell_angle_beta 90.00
_cell_angle_gamma 90.00
loop_
_atom_site_label
_atom_site_type_symbol
_atom_site_fract_x
_atom_site_fract_y
_atom_site_fract_z
_atom_site_occupancy
Ag1 Ag 0.000 0.000 0.238 1
Ag2 Ag 0.000 0.000 0.762 1
As1 As 0.500 0.500 0.500 1
Ir1 Ir 0.500 0.500 0.000 1
```

Output
Energy relative to the elements in eV/atom: 0.413
Crystal system: tetragonal
DFT total energy in eV/atom: -4.390

# 4
First-principles (PBE) data for K2Rb2Cd after structural relaxation, as listed in Alexandria.

The structure in CIF format:
```
data_K2Rb2Cd
_symmetry_space_group_name_H-M 'P 1'
_symmetry_Int_Tables_number 1
_symmetry_space_group_name_Hall 'P 1'
_cell_length_a 9.565
_cell_length_b 9.565
_cell_length_c 7.396
_cell_angle_alpha 90.00
_cell_angle_beta 90.00
_cell_angle_gamma 90.00
loop_
_atom_site_label
_atom_site_type_symbol
_atom_site_fract_x
_atom_site_fract_y
_atom_site_fract_z
_atom_site_occupancy
K1 K 0.154 0.346 0.000 1
K2 K 0.346 0.846 0.000 1
K3 K 0.654 0.154 0.000 1
K4 K 0.846 0.654 0.000 1
Rb1 Rb 0.180 0.680 0.500 1
Rb2 Rb 0.320 0.180 0.500 1
Rb3 Rb 0.680 0.820 0.500 1
Rb4 Rb 0.820 0.320 0.500 1
Cd1 Cd 0.000 0.000 0.000 1
Cd2 Cd 0.500 0.500 0.000 1
```

Output
Offset from the most stable computed form in eV/atom: 0.067
Energy relative to the elements in eV/atom: 0.057
Crystal system: tetragonal
DFT total energy in eV/atom: -0.952

# 5
First-principles (PBE) data for Er2Tm8Mg after structural relaxation, as listed in Alexandria.

The structure in CIF format:
```
data_Er2Tm8Mg
_symmetry_space_group_name_H-M 'P 1'
_symmetry_Int_Tables_number 1
_symmetry_space_group_name_Hall 'P 1'
_cell_length_a 9.687
_cell_length_b 9.687
_cell_length_c 9.687
_cell_angle_alpha 147.55
_cell_angle_beta 135.74
_cell_angle_gamma 55.94
loop_
_atom_site_label
_atom_site_type_symbol
_atom_site_fract_x
_atom_site_fract_y
_atom_site_fract_z
_atom_site_occupancy
Er1 Er 0.194 0.194 0.000 1
Er2 Er 0.806 0.806 0.000 1
Tm1 Tm 0.099 0.361 0.737 1
Tm2 Tm 0.246 0.000 0.246 1
Tm3 Tm 0.317 0.817 0.500 1
Tm4 Tm 0.376 0.639 0.737 1
Tm5 Tm 0.624 0.361 0.263 1
Tm6 Tm 0.683 0.183 0.500 1
Tm7 Tm 0.754 0.000 0.754 1
Tm8 Tm 0.901 0.639 0.263 1
Mg1 Mg 0.500 0.500 0.000 1
```

Output
Offset from the most stable computed form in eV/atom: 0.000
Energy relative to the elements in eV/atom: 0.108
Crystal system: orthorhombic
DFT total energy in eV/atom: -4.119

# 6
First-principles (PBE) data for Rb2Na2Pb3 after structural relaxation, as listed in Alexandria.

The structure in CIF format:
```
data_Rb2Na2Pb3
_symmetry_space_group_name_H-M 'P 1'
_symmetry_Int_Tables_number 1
_symmetry_space_group_name_Hall 'P 1'
_cell_length_a 7.191
_cell_length_b 7.191
_cell_length_c 8.181
_cell_angle_alpha 113.41
_cell_angle_beta 113.41
_cell_angle_gamma 46.75
loop_
_atom_site_label
_atom_site_type_symbol
_atom_site_fract_x
_atom_site_fract_y
_atom_site_fract_z
_atom_site_occupancy
Rb1 Rb 0.160 0.160 0.276 1
Rb2 Rb 0.840 0.840 0.724 1
Na1 Na 0.136 0.136 0.763 1
Na2 Na 0.864 0.864 0.237 1
Pb1 Pb 0.413 0.413 0.082 1
Pb2 Pb 0.500 0.500 0.500 1
Pb3 Pb 0.587 0.587 0.918 1
```

Output
Energy relative to the elements in eV/atom: -0.091
Crystal system: monoclinic
DFT total energy in eV/atom: -2.333

# 7
First-principles (PBE) data for NpScIrPt after structural relaxation, as listed in Alexandria.

The structure in CIF format:
```
data_NpScIrPt
_symmetry_space_group_name_H-M 'P 1'
_symmetry_Int_Tables_number 1
_symmetry_space_group_name_Hall 'P 1'
_cell_length_a 4.769
_cell_length_b 4.769
_cell_length_c 4.769
_cell_angle_alpha 60.00
_cell_angle_beta 60.00
_cell_angle_gamma 60.00
loop_
_atom_site_label
_atom_site_type_symbol
_atom_site_fract_x
_atom_site_fract_y
_atom_site_fract_z
_atom_site_occupancy
Np1 Np 0.000 0.000 0.000 1
Sc1 Sc 0.500 0.500 0.500 1
Ir1 Ir 0.750 0.750 0.750 1
Pt1 Pt 0.250 0.250 0.250 1
```

Output
Energy relative to the elements in eV/atom: -0.649
Crystal system: cubic
DFT total energy in eV/atom: -9.192

# 8
First-principles (PBE) data for HfBIr2Ru after structural relaxation, as listed in Alexandria.

The structure in CIF format:
```
data_HfBIr2Ru
_symmetry_space_group_name_H-M 'P 1'
_symmetry_Int_Tables_number 1
_symmetry_space_group_name_Hall 'P 1'
_cell_length_a 4.132
_cell_length_b 4.132
_cell_length_c 4.165
_cell_angle_alpha 90.00
_cell_angle_beta 90.00
_cell_angle_gamma 90.00
loop_
_atom_site_label
_atom_site_type_symbol
_atom_site_fract_x
_atom_site_fract_y
_atom_site_fract_z
_atom_site_occupancy
Hf1 Hf 0.000 0.000 0.000 1
B1 B 0.500 0.500 0.500 1
Ir1 Ir 0.000 0.500 0.500 1
Ir2 Ir 0.500 0.000 0.500 1
Ru1 Ru 0.500 0.500 0.000 1
```

Output
Energy relative to the elements in eV/atom: -0.638
Crystal system: tetragonal
DFT total energy in eV/atom: -9.364

# 9
First-principles (PBE) data for TlBrO2 after structural relaxation, as listed in Alexandria.

The structure in CIF format:
```
data_TlBrO2
_symmetry_space_group_name_H-M 'P 1'
_symmetry_Int_Tables_number 1
_symmetry_space_group_name_Hall 'P 1'
_cell_length_a 3.953
_cell_length_b 3.953
_cell_length_c 5.251
_cell_angle_alpha 90.00
_cell_angle_beta 90.00
_cell_angle_gamma 120.00
loop_
_atom_site_label
_atom_site_type_symbol
_atom_site_fract_x
_atom_site_fract_y
_atom_site_fract_z
_atom_site_occupancy
Tl1 Tl 0.000 0.000 0.000 1
Br1 Br 0.667 0.333 0.500 1
O1 O 0.000 0.000 0.500 1
O2 O 0.333 0.667 0.000 1
```

Output
Offset from the most stable computed form in eV/atom: 0.462
Crystal system: hexagonal
DFT total energy in eV/atom: -3.372
ΔE_f (raw) in eV/atom: 0.117

# 10
First-principles (PBE) data for Rb3Pu2CdTe6 after structural relaxation, as listed in Alexandria.

The structure in CIF format:
```
data_Rb3Pu2CdTe6
_symmetry_space_group_name_H-M 'P 1'
_symmetry_Int_Tables_number 1
_symmetry_space_group_name_Hall 'P 1'
_cell_length_a 7.922
_cell_length_b 7.922
_cell_length_c 8.878
_cell_angle_alpha 98.54
_cell_angle_beta 98.54
_cell_angle_gamma 119.98
loop_
_atom_site_label
_atom_site_type_symbol
_atom_site_fract_x
_atom_site_fract_y
_atom_site_fract_z
_atom_site_occupancy
Rb1 Rb 0.000 0.000 0.000 1
Rb2 Rb 0.335 0.665 0.000 1
Rb3 Rb 0.665 0.335 0.000 1
Pu1 Pu 0.167 0.833 0.500 1
Pu2 Pu 0.833 0.167 0.500 1
Cd1 Cd 0.500 0.500 0.500 1
Te1 Te 0.099 0.434 0.304 1
Te2 Te 0.230 0.230 0.695 1
Te3 Te 0.434 0.099 0.304 1
Te4 Te 0.566 0.901 0.696 1
Te5 Te 0.770 0.770 0.305 1
Te6 Te 0.901 0.566 0.696 1
```

Output
Crystal system: monoclinic
DFT total energy in eV/atom: -5.184
ΔE_f (raw) in eV/atom: -0.906

# 11
First-principles (PBE) data for Sr2CaZnH after structural relaxation, as listed in Alexandria.

The structure in CIF format:
```
data_Sr2CaZnH
_symmetry_space_group_name_H-M 'P 1'
_symmetry_Int_Tables_number 1
_symmetry_space_group_name_Hall 'P 1'
_cell_length_a 5.491
_cell_length_b 5.491
_cell_length_c 4.720
_cell_angle_alpha 90.00
_cell_angle_beta 90.00
_cell_angle_gamma 90.00
loop_
_atom_site_label
_atom_site_type_symbol
_atom_site_fract_x
_atom_site_fract_y
_atom_site_fract_z
_atom_site_occupancy
Sr1 Sr 0.000 0.500 0.000 1
Sr2 Sr 0.500 0.000 0.000 1
Ca1 Ca 0.000 0.000 0.500 1
Zn1 Zn 0.500 0.500 0.500 1
H1 H 0.000 0.000 0.000 1
```

Output
Crystal system: tetragonal
DFT total energy in eV/atom: -2.127

# 12
First-principles (PBE) data for CsCa4Eu after structural relaxation, as listed in Alexandria.

The structure in CIF format:
```
data_CsCa4Eu
_symmetry_space_group_name_H-M 'P 1'
_symmetry_Int_Tables_number 1
_symmetry_space_group_name_Hall 'P 1'
_cell_length_a 7.584
_cell_length_b 7.584
_cell_length_c 7.584
_cell_angle_alpha 60.00
_cell_angle_beta 60.00
_cell_angle_gamma 60.00
loop_
_atom_site_label
_atom_site_type_symbol
_atom_site_fract_x
_atom_site_fract_y
_atom_site_fract_z
_atom_site_occupancy
Cs1 Cs 0.000 0.000 0.000 1
Ca1 Ca 0.376 0.376 0.376 1
Ca2 Ca 0.376 0.376 0.872 1
Ca3 Ca 0.376 0.872 0.376 1
Ca4 Ca 0.872 0.376 0.376 1
Eu1 Eu 0.750 0.750 0.750 1
```

Output
Energy relative to the elements in eV/atom: 0.180
Crystal system: cubic
DFT total energy in eV/atom: -3.010